Here is an optimized crystal structure of HoSnAs from Alexandria via LeMat-Bulk. Energies are from PBE-GGA.

a = 5.476 Å, b = 3.860 Å, c = 10.949 Å
α = 90.00°, β = 90.00°, γ = 135.17°
Positions (direct):
Sn  0.460  0.919  0.000
Sn  0.253  0.505  0.500
Ho  0.741  0.481  0.318
Ho  0.741  0.481  0.682
As  0.237  0.473  0.768
As  0.237  0.473  0.232

Summary:
V = 27.193 Å³ per atom
Symmetry = Amm2, No. 38
Formation energy from the elements = -629 meV per atom
Crystal system = orthorhombic
Final energy = -5.04 eV/atom